DFT (GGA-PBE) results for a geometry-optimized K2Rb2Cr structure.

As for the calculated volume: 65.12 A^3/atom. The total magnetization comes out at 10.7 μB/cell. The calculation puts the formation energy at 569 meV/atom. The calculation puts the density of states at the Fermi level at 3.25 states/eV/f.u. The calculation puts the energy above the most stable polymorph in this dataset at 0.000 eV/atom.

It has space group P4/mbm (No. 127), with a = 9.497 Å, b = 9.497 Å, c = 7.220 Å, α = 90.00°, β = 90.00° and γ = 90.00°. The asymmetric unit holds K at (0.154, 0.346, 0.000), Rb at (0.184, 0.684, 0.500) and Cr at (0.000, 0.000, 0.000).